Record 1
Material: Tl2CoAs
Method: DFT, PBE-GGA
State: optimized geometry

Output
Total magnetization = 0.0 Bohr magnetons per cell
Density of states at the Fermi level = 0.6078 states/eV per atom
Space group = No. 44
ΔE_f = 77 kJ/mol of formula units
VASP energy = -3.92 eV/atom
Energy above the most stable polymorph in this dataset = 92 meV per atom

```
data_Tl2CoAs
_cell_length_a 7.0401
_cell_length_b 7.0401
_cell_length_c 7.0401
_cell_angle_alpha 154.10
_cell_angle_beta 142.96
_cell_angle_gamma 45.75
_symmetry_space_group_name_H-M 'P 1'
_symmetry_Int_Tables_number 1
_symmetry_space_group_name_Hall 'P 1'
loop_
_atom_site_label
_atom_site_type_symbol
_atom_site_fract_x
_atom_site_fract_y
_atom_site_fract_z
Tl1 Tl 0.7451 0.2451 0.5000
Tl2 Tl 0.0514 0.0514 0.0000
As1 As 0.4158 0.4158 0.0000
Co1 Co 0.2877 0.7877 0.5000
```


Record 2
Material: Tl2CoAs
Method: DFT, PBE-GGA
State: optimized geometry

Output
Total magnetization = 1.4 Bohr magnetons per cell
Density of states at the Fermi level = 1.1127 states/eV per atom
Space group = No. 12
ΔE_f = 231 kJ/mol of formula units
VASP energy = -3.52 eV/atom
Energy above the most stable polymorph in this dataset = 490 meV per atom

```
data_Tl2CoAs
_cell_length_a 5.3434
_cell_length_b 5.3434
_cell_length_c 5.2648
_cell_angle_alpha 63.33
_cell_angle_beta 63.33
_cell_angle_gamma 40.68
_symmetry_space_group_name_H-M 'P 1'
_symmetry_Int_Tables_number 1
_symmetry_space_group_name_Hall 'P 1'
loop_
_atom_site_label
_atom_site_type_symbol
_atom_site_fract_x
_atom_site_fract_y
_atom_site_fract_z
Tl1 Tl 0.5194 0.5194 0.4785
Tl2 Tl 0.9806 0.9806 0.0215
As1 As 0.7500 0.7500 0.7500
Co1 Co 0.2500 0.2500 0.2500
```


Record 3
Material: Tl2CoAs
Method: DFT, PBE-GGA
State: optimized geometry

Output
Total magnetization = 1.6 Bohr magnetons per cell
Density of states at the Fermi level = 0.9220 states/eV per atom
Space group = No. 10
ΔE_f = 238 kJ/mol of formula units
VASP energy = -3.51 eV/atom
Energy above the most stable polymorph in this dataset = 508 meV per atom

```
data_Tl2CoAs
_cell_length_a 3.8653
_cell_length_b 5.5509
_cell_length_c 5.8797
_cell_angle_alpha 44.18
_cell_angle_beta 90.00
_cell_angle_gamma 90.00
_symmetry_space_group_name_H-M 'P 1'
_symmetry_Int_Tables_number 1
_symmetry_space_group_name_Hall 'P 1'
loop_
_atom_site_label
_atom_site_type_symbol
_atom_site_fract_x
_atom_site_fract_y
_atom_site_fract_z
Co1 Co 0.0000 0.0000 0.5000
As1 As 0.5000 0.5000 0.5000
Tl1 Tl 0.0000 0.0000 0.0000
Tl2 Tl 0.5000 0.5000 0.0000
```


Record 4
Material: Tl2CoAs
Method: DFT, PBE-GGA
State: optimized geometry

Output
Total magnetization = 1.2 Bohr magnetons per cell
Density of states at the Fermi level = 1.2354 states/eV per atom
Space group = No. 65
ΔE_f = 219 kJ/mol of formula units
VASP energy = -3.55 eV/atom
Energy above the most stable polymorph in this dataset = 460 meV per atom

```
data_Tl2CoAs
_cell_length_a 3.1896
_cell_length_b 3.1896
_cell_length_c 8.3434
_cell_angle_alpha 90.00
_cell_angle_beta 90.00
_cell_angle_gamma 98.81
_symmetry_space_group_name_H-M 'P 1'
_symmetry_Int_Tables_number 1
_symmetry_space_group_name_Hall 'P 1'
loop_
_atom_site_label
_atom_site_type_symbol
_atom_site_fract_x
_atom_site_fract_y
_atom_site_fract_z
Tl1 Tl 0.0000 0.0000 0.5368
Tl2 Tl 0.0000 0.0000 0.9632
As1 As 0.5000 0.5000 0.2500
Co1 Co 0.5000 0.5000 0.7500
```


The lowest density of states at the Fermi level belongs to which entry?
number 1


Look up the energy above the most stable polymorph in this dataset of the second one.
490 meV per atom